{
  "formula": "CaCoAg3",
  "functional": "PBEsol",
  "state": "relaxed",
  "lattice_angstrom": [[-4.110, 2.205, -0.955], [-0.984, 0.181, 4.655], [2.193, 4.216, 0.299]],
  "species": ["Ag", "Ag", "Ag", "Ca", "Co"],
  "frac_coords": [[0.000, 0.500, 0.000], [0.000, 0.000, 0.500], [0.500, 0.000, 0.000], [0.500, 0.500, 0.500], [0.000, 0.000, 0.000]],
  "volume_a3_per_cell": 108,
  "ef_ev_per_atom": 0.424,
  "spacegroup": "No. 221",
  "final_energy_ha_per_atom": -0.1300
}